Entry 1:
Material: RbMg2BeFe
Method: DFT, PBE
State: optimized geometry

a b c (Å): 5.006 5.006 5.479
angles (deg): 90.00 90.00 90.00
Atoms (fractional coordinates):
Rb: 0.000 0.000 0.000
Mg: 0.000 0.500 0.500
Mg: 0.500 0.000 0.500
Be: 0.500 0.500 0.000
Fe: 0.000 0.000 0.500

Results
calculated formation energy = 1.345 eV per atom
N(E_F) = 9.254 states/eV/f.u.
symmetry = P4/mmm, No. 123



Entry 2:
Material: BaC3
Method: DFT, PBE
State: optimized geometry

a b c (Å): 6.300 6.300 5.942
angles (deg): 90.00 90.00 115.68
Atoms (fractional coordinates):
Ba: 0.222 0.778 0.750
Ba: 0.778 0.222 0.250
C: 0.042 0.958 0.250
C: 0.051 0.735 0.250
C: 0.265 0.949 0.250
C: 0.735 0.051 0.750
C: 0.949 0.265 0.750
C: 0.958 0.042 0.750

Results
excess energy over the best structure of this formula in the dataset = 630.0 meV/atom
calculated formation energy = 0.895 eV per atom
symmetry = Cmcm, No. 63



Entry 3:
Material: K2SrInH
Method: DFT, PBE
State: optimized geometry

a b c (Å): 5.486 5.486 5.426
angles (deg): 90.00 90.00 90.00
Atoms (fractional coordinates):
K: 0.000 0.500 0.000
K: 0.500 0.000 0.000
Sr: 0.000 0.000 0.500
In: 0.500 0.500 0.500
H: 0.000 0.000 0.000

Results
E = -2.10 eV per atom
N(E_F) = 3.016 states/eV/f.u.
symmetry = P4/mmm, No. 123